(1)
Crystalline Sc3Pa5S8 at its relaxed geometry, computed with PBE-GGA.

Summary:
**Magnetic moment**: 0.0 μB/cell
**Formation energy (no corrections)**: -1675.5 meV per atom

Geometry as CIF:
```
data_Sc3Pa5S8
_chemical_formula_sum 'Sc3 Pa5 S8'
_symmetry_space_group_name_H-M 'P 1'
_symmetry_Int_Tables_number 1
_cell_length_a 7.4656
_cell_length_b 7.4656
_cell_length_c 7.8319
_cell_angle_alpha 61.54
_cell_angle_beta 61.54
_cell_angle_gamma 60.00
loop_
_symmetry_equiv_pos_as_xyz
'x,y,z'
loop_
_atom_site_label
_atom_site_type_symbol
_atom_site_fract_x
_atom_site_fract_y
_atom_site_fract_z
Sc1 Sc 0.5000 0.0000 0.5000
Sc2 Sc 0.0000 0.0000 0.5000
Sc3 Sc 0.0000 0.5000 0.5000
Pa1 Pa 0.5000 0.0000 0.0000
Pa2 Pa 0.5000 0.5000 0.0000
Pa3 Pa 0.0000 0.0000 0.0000
Pa4 Pa 0.0000 0.5000 0.0000
Pa5 Pa 0.5000 0.5000 0.5000
S1 S 0.2509 0.2509 0.7337
S2 S 0.2509 0.7646 0.7337
S3 S 0.7646 0.2509 0.7337
S4 S 0.7570 0.7570 0.7289
S5 S 0.7491 0.7491 0.2663
S6 S 0.7491 0.2354 0.2663
S7 S 0.2354 0.7491 0.2663
S8 S 0.2430 0.2430 0.2711
```

(2)
Crystalline ScPaSeS at its relaxed geometry, computed with PBE-GGA.

Summary:
**Magnetic moment**: 0.0 μB/cell
**Formation energy (no corrections)**: -1505.0 meV per atom

Geometry as CIF:
```
data_ScPaSeS
_chemical_formula_sum 'Sc1 Pa1 Se1 S1'
_symmetry_space_group_name_H-M 'P 1'
_symmetry_Int_Tables_number 1
_cell_length_a 3.6268
_cell_length_b 3.6235
_cell_length_c 7.5488
_cell_angle_alpha 89.97
_cell_angle_beta 104.01
_cell_angle_gamma 119.89
loop_
_symmetry_equiv_pos_as_xyz
'x,y,z'
loop_
_atom_site_label
_atom_site_type_symbol
_atom_site_fract_x
_atom_site_fract_y
_atom_site_fract_z
Sc1 Sc 0.4839 0.1396 0.6384
Pa1 Pa 0.1235 0.9599 0.0987
Se1 Se 0.9812 0.3887 0.3857
S1 S 0.2892 0.5425 0.8469
```

(3)
Crystalline Sm2ScPaS4 at its relaxed geometry, computed with PBE-GGA.

Summary:
**Magnetic moment**: 0.0 μB/cell
**Formation energy (no corrections)**: -1845.6 meV per atom

Geometry as CIF:
```
data_Sm2ScPaS4
_chemical_formula_sum 'Sm2 Sc1 Pa1 S4'
_symmetry_space_group_name_H-M 'P 1'
_symmetry_Int_Tables_number 1
_cell_length_a 3.8784
_cell_length_b 6.7800
_cell_length_c 6.7726
_cell_angle_alpha 108.96
_cell_angle_beta 90.00
_cell_angle_gamma 90.00
loop_
_symmetry_equiv_pos_as_xyz
'x,y,z'
loop_
_atom_site_label
_atom_site_type_symbol
_atom_site_fract_x
_atom_site_fract_y
_atom_site_fract_z
Sm1 Sm 0.5000 0.0000 0.5000
Sm2 Sm 0.0000 0.5000 0.5000
Sc1 Sc 0.0000 0.0000 0.0000
Pa1 Pa 0.5000 0.5000 0.0000
S1 S 0.5000 0.2362 0.2303
S2 S 0.5000 0.7638 0.7697
S3 S 0.0000 0.2452 0.7622
S4 S 0.0000 0.7548 0.2378
```

(4)
Crystalline Sr2ScPaS6 at its relaxed geometry, computed with PBE-GGA.

Summary:
**Magnetic moment**: 0.0 μB/cell
**Formation energy (no corrections)**: -1916.4 meV per atom

Geometry as CIF:
```
data_Sr2ScPaS6
_chemical_formula_sum 'Sr4 Sc2 Pa2 S12'
_symmetry_space_group_name_H-M 'P 1'
_symmetry_Int_Tables_number 1
_cell_length_a 6.8864
_cell_length_b 7.3001
_cell_length_c 9.9784
_cell_angle_alpha 90.00
_cell_angle_beta 90.69
_cell_angle_gamma 90.00
loop_
_symmetry_equiv_pos_as_xyz
'x,y,z'
loop_
_atom_site_label
_atom_site_type_symbol
_atom_site_fract_x
_atom_site_fract_y
_atom_site_fract_z
Sr1 Sr 0.0251 0.9231 0.2475
Sr2 Sr 0.5251 0.5769 0.7475
Sr3 Sr 0.9749 0.0769 0.7525
Sr4 Sr 0.4749 0.4231 0.2525
Sc1 Sc 0.5000 0.0000 0.5000
Sc2 Sc 0.0000 0.5000 0.0000
Pa1 Pa 0.5000 0.0000 0.0000
Pa2 Pa 0.0000 0.5000 0.5000
S1 S 0.3037 0.6964 0.0539
S2 S 0.8037 0.8036 0.5539
S3 S 0.6963 0.3036 0.9461
S4 S 0.1963 0.1964 0.4461
S5 S 0.3082 0.6998 0.4469
S6 S 0.8082 0.8002 0.9469
S7 S 0.6918 0.3002 0.5531
S8 S 0.1918 0.1998 0.0531
S9 S 0.8971 0.5271 0.2464
S10 S 0.3971 0.9729 0.7464
S11 S 0.1029 0.4729 0.7536
S12 S 0.6029 0.0271 0.2536
```

(5)
Crystalline SrScPa2S8 at its relaxed geometry, computed with PBE-GGA.

Summary:
**Magnetic moment**: 0.0 μB/cell
**Formation energy (no corrections)**: -1511.3 meV per atom

Geometry as CIF:
```
data_SrScPa2S8
_chemical_formula_sum 'Sr1 Sc1 Pa2 S8'
_symmetry_space_group_name_H-M 'P 1'
_symmetry_Int_Tables_number 1
_cell_length_a 6.2867
_cell_length_b 6.2828
_cell_length_c 8.3368
_cell_angle_alpha 90.01
_cell_angle_beta 90.01
_cell_angle_gamma 88.15
loop_
_symmetry_equiv_pos_as_xyz
'x,y,z'
loop_
_atom_site_label
_atom_site_type_symbol
_atom_site_fract_x
_atom_site_fract_y
_atom_site_fract_z
Sr1 Sr 0.0000 0.0000 0.5000
Sc1 Sc 0.0000 0.0000 0.0000
Pa1 Pa 0.5000 0.5000 0.7527
Pa2 Pa 0.5000 0.5000 0.2473
S1 S 0.2053 0.7944 0.2174
S2 S 0.6966 0.6966 0.0001
S3 S 0.7948 0.2057 0.2174
S4 S 0.7947 0.2056 0.7826
S5 S 0.3034 0.3034 0.9999
S6 S 0.2052 0.7943 0.7826
S7 S 0.6771 0.6783 0.5000
S8 S 0.3229 0.3217 0.5000
```

(6)
Crystalline TbSc2PaS4 at its relaxed geometry, computed with PBE-GGA.

Summary:
**Magnetic moment**: 0.0 μB/cell
**Formation energy (no corrections)**: -1809.5 meV per atom

Geometry as CIF:
```
data_TbSc2PaS4
_chemical_formula_sum 'Tb1 Sc2 Pa1 S4'
_symmetry_space_group_name_H-M 'P 1'
_symmetry_Int_Tables_number 1
_cell_length_a 3.7651
_cell_length_b 6.6381
_cell_length_c 6.5683
_cell_angle_alpha 71.09
_cell_angle_beta 90.00
_cell_angle_gamma 90.00
loop_
_symmetry_equiv_pos_as_xyz
'x,y,z'
loop_
_atom_site_label
_atom_site_type_symbol
_atom_site_fract_x
_atom_site_fract_y
_atom_site_fract_z
Tb1 Tb 0.5000 0.5000 0.0000
Sc1 Sc 0.0000 0.0000 0.0000
Sc2 Sc 0.5000 0.0000 0.5000
Pa1 Pa 0.0000 0.5000 0.5000
S1 S 0.0000 0.7683 0.7435
S2 S 0.0000 0.2317 0.2565
S3 S 0.5000 0.7694 0.2431
S4 S 0.5000 0.2306 0.7569
```

(7)
Crystalline TbScPa2S4 at its relaxed geometry, computed with PBE-GGA.

Summary:
**Magnetic moment**: 0.0 μB/cell
**Formation energy (no corrections)**: -1735.3 meV per atom

Geometry as CIF:
```
data_TbScPa2S4
_chemical_formula_sum 'Tb1 Sc1 Pa2 S4'
_symmetry_space_group_name_H-M 'P 1'
_symmetry_Int_Tables_number 1
_cell_length_a 3.7318
_cell_length_b 6.4638
_cell_length_c 7.0333
_cell_angle_alpha 107.82
_cell_angle_beta 90.00
_cell_angle_gamma 90.00
loop_
_symmetry_equiv_pos_as_xyz
'x,y,z'
loop_
_atom_site_label
_atom_site_type_symbol
_atom_site_fract_x
_atom_site_fract_y
_atom_site_fract_z
Tb1 Tb 0.5000 0.5000 0.0000
Sc1 Sc 0.0000 0.0000 0.0000
Pa1 Pa 0.5000 0.0000 0.5000
Pa2 Pa 0.0000 0.5000 0.5000
S1 S 0.5000 0.2359 0.2334
S2 S 0.5000 0.7641 0.7666
S3 S 0.0000 0.2454 0.7613
S4 S 0.0000 0.7546 0.2387
```

(8)
Crystalline Tm2Sc3PaS6 at its relaxed geometry, computed with PBE-GGA.

Summary:
**Magnetic moment**: 0.0 μB/cell
**Formation energy (no corrections)**: -1828.3 meV per atom

Geometry as CIF:
```
data_Tm2Sc3PaS6
_chemical_formula_sum 'Tm2 Sc3 Pa1 S6'
_symmetry_space_group_name_H-M 'P 1'
_symmetry_Int_Tables_number 1
_cell_length_a 3.7534
_cell_length_b 7.6074
_cell_length_c 8.4514
_cell_angle_alpha 102.70
_cell_angle_beta 102.83
_cell_angle_gamma 90.00
loop_
_symmetry_equiv_pos_as_xyz
'x,y,z'
loop_
_atom_site_label
_atom_site_type_symbol
_atom_site_fract_x
_atom_site_fract_y
_atom_site_fract_z
Tm1 Tm 0.8368 0.6722 0.6737
Tm2 Tm 0.1632 0.3278 0.3263
Sc1 Sc 0.5000 0.5000 0.0000
Sc2 Sc 0.8360 0.1612 0.6720
Sc3 Sc 0.1640 0.8388 0.3280
Pa1 Pa 0.5000 0.0000 0.0000
S1 S 0.3275 0.9198 0.6550
S2 S 0.6668 0.5896 0.3336
S3 S 0.6725 0.0802 0.3450
S4 S 0.9969 0.2639 0.9939
S5 S 0.0031 0.7361 0.0061
S6 S 0.3332 0.4104 0.6664
```

(9)
Crystalline TmSc2PaS4 at its relaxed geometry, computed with PBE-GGA.

Summary:
**Magnetic moment**: 0.0 μB/cell
**Formation energy (no corrections)**: -1792.3 meV per atom

Geometry as CIF:
```
data_TmSc2PaS4
_chemical_formula_sum 'Tm1 Sc2 Pa1 S4'
_symmetry_space_group_name_H-M 'P 1'
_symmetry_Int_Tables_number 1
_cell_length_a 3.7503
_cell_length_b 6.5740
_cell_length_c 6.5600
_cell_angle_alpha 71.03
_cell_angle_beta 90.00
_cell_angle_gamma 90.00
loop_
_symmetry_equiv_pos_as_xyz
'x,y,z'
loop_
_atom_site_label
_atom_site_type_symbol
_atom_site_fract_x
_atom_site_fract_y
_atom_site_fract_z
Tm1 Tm 0.0000 0.5000 0.5000
Sc1 Sc 0.0000 0.0000 0.0000
Sc2 Sc 0.5000 0.0000 0.5000
Pa1 Pa 0.5000 0.5000 0.0000
S1 S 0.0000 0.7671 0.7402
S2 S 0.0000 0.2329 0.2598
S3 S 0.5000 0.7631 0.2491
S4 S 0.5000 0.2369 0.7509
```

(10)
Crystalline YScPa2S4 at its relaxed geometry, computed with PBE-GGA.

Summary:
**Magnetic moment**: 0.0 μB/cell
**Formation energy (no corrections)**: -1733.2 meV per atom

Geometry as CIF:
```
data_YScPa2S4
_chemical_formula_sum 'Y1 Sc1 Pa2 S4'
_symmetry_space_group_name_H-M 'P 1'
_symmetry_Int_Tables_number 1
_cell_length_a 3.7278
_cell_length_b 6.4541
_cell_length_c 7.0349
_cell_angle_alpha 107.82
_cell_angle_beta 90.00
_cell_angle_gamma 90.00
loop_
_symmetry_equiv_pos_as_xyz
'x,y,z'
loop_
_atom_site_label
_atom_site_type_symbol
_atom_site_fract_x
_atom_site_fract_y
_atom_site_fract_z
Y1 Y 0.5000 0.5000 0.0000
Sc1 Sc 0.0000 0.0000 0.0000
Pa1 Pa 0.5000 0.0000 0.5000
Pa2 Pa 0.0000 0.5000 0.5000
S1 S 0.5000 0.2363 0.2330
S2 S 0.5000 0.7637 0.7670
S3 S 0.0000 0.2461 0.7621
S4 S 0.0000 0.7539 0.2379
```

(11)
Crystalline Pa2SeS at its relaxed geometry, computed with PBE-GGA.

Summary:
**Excess energy over the best structure of this formula in the dataset**: 0.3628 eV per atom
**Magnetic moment**: 1.4 μB/cell
**Formation energy (no corrections)**: -1052.0 meV per atom

Geometry as CIF:
```
data_Pa2SeS
_chemical_formula_sum 'Pa2 Se1 S1'
_symmetry_space_group_name_H-M 'P 1'
_symmetry_Int_Tables_number 1
_cell_length_a 3.4673
_cell_length_b 3.4673
_cell_length_c 6.9515
_cell_angle_alpha 90.00
_cell_angle_beta 90.00
_cell_angle_gamma 90.00
loop_
_symmetry_equiv_pos_as_xyz
'x,y,z'
loop_
_atom_site_label
_atom_site_type_symbol
_atom_site_fract_x
_atom_site_fract_y
_atom_site_fract_z
S1 S 0.5000 0.5000 0.0000
Pa1 Pa 0.0000 0.0000 0.7581
Pa2 Pa 0.0000 0.0000 0.2419
Se1 Se 0.5000 0.5000 0.5000
```

(12)
Crystalline PaSeS at its relaxed geometry, computed with PBE-GGA.

Summary:
**Excess energy over the best structure of this formula in the dataset**: 0.2938 eV per atom
**Magnetic moment**: 2.8 μB/cell
**Formation energy (no corrections)**: -1233.7 meV per atom

Geometry as CIF:
```
data_PaSeS
_chemical_formula_sum 'Pa3 Se3 S3'
_symmetry_space_group_name_H-M 'P 1'
_symmetry_Int_Tables_number 1
_cell_length_a 5.1630
_cell_length_b 5.1630
_cell_length_c 7.9994
_cell_angle_alpha 90.00
_cell_angle_beta 90.00
_cell_angle_gamma 120.00
loop_
_symmetry_equiv_pos_as_xyz
'x,y,z'
loop_
_atom_site_label
_atom_site_type_symbol
_atom_site_fract_x
_atom_site_fract_y
_atom_site_fract_z
S1 S 0.9812 0.4906 0.5000
S2 S 0.5094 0.0188 0.8333
S3 S 0.5094 0.4906 0.1667
Se1 Se 0.6736 0.8368 0.5000
Se2 Se 0.1632 0.3264 0.8333
Se3 Se 0.1632 0.8368 0.1667
Pa1 Pa 0.3363 0.1682 0.5000
Pa2 Pa 0.8318 0.6637 0.8333
Pa3 Pa 0.8318 0.1682 0.1667
```